# 1
# LaCu2Re | the Alexandria database | PBE-GGA | relaxed
# - Total DFT energy (no corrections): -23.6 eV/f.u.
# - Calculated formation energy: 0.488 eV per atom
# - Distance to the lowest polymorph of the same formula: 45.7 kJ/mol of formula units
data_LaCu2Re
_chemical_formula_sum 'La2 Cu4 Re2'
_symmetry_space_group_name_H-M 'I m m m'
_symmetry_Int_Tables_number 71
_symmetry_space_group_name_Hall '-I 2 2'
_cell_length_a 3.896
_cell_length_b 4.559
_cell_length_c 8.100
_cell_angle_alpha 90.00
_cell_angle_beta 90.00
_cell_angle_gamma 90.00
loop_
_atom_site_label
_atom_site_type_symbol
_atom_site_fract_x
_atom_site_fract_y
_atom_site_fract_z
La1 La 0.000 0.000 0.000
Cu1 Cu 0.000 0.500 0.231
Re1 Re 0.000 0.000 0.500

=====

# 2
# RbMgV2 | the Alexandria database | PBE-GGA | relaxed
# - Total DFT energy (no corrections): -14.9 eV/f.u.
# - Calculated formation energy: 1.466 eV per atom
# - Distance to the lowest polymorph of the same formula: 0.0 kJ/mol of formula units
data_RbMgV2
_chemical_formula_sum 'Rb4 Mg4 V8'
_symmetry_space_group_name_H-M 'I -4 2 d'
_symmetry_Int_Tables_number 122
_symmetry_space_group_name_Hall 'I -4 2bw'
_cell_length_a 4.497
_cell_length_b 4.497
_cell_length_c 21.995
_cell_angle_alpha 90.00
_cell_angle_beta 90.00
_cell_angle_gamma 90.00
loop_
_atom_site_label
_atom_site_type_symbol
_atom_site_fract_x
_atom_site_fract_y
_atom_site_fract_z
Rb1 Rb 0.000 0.000 0.000
Mg1 Mg 0.000 0.000 0.500
V1 V 0.019 0.250 0.625